# 1
A geometry-optimized LiYZr structure, computed with PBE-GGA.

abc: 5.276 3.345 8.385
angles: 90.00 100.81 90.00
Positions (direct):
Li1 0.199 0.000 0.304
Li2 0.801 0.000 0.696
Y1 0.293 0.500 0.658
Y2 0.707 0.500 0.342
Zr1 0.000 0.500 0.000
Zr2 0.500 0.000 0.000

## Properties
M_tot: 0.0 μB per cell
calculated total energy: -0.2008 hartree per atom
space group: P2/m (10)
ΔH_f (0 K): 0.179 eV/atom
density of states at the Fermi level: 1.53 states/eV/atom
mass density: 4.27 Mg/m³

=====

# 2
A geometry-optimized ThCoNi structure, computed with PBE-GGA.

abc: 7.685 7.685 7.685
angles: 150.82 150.29 42.13
Positions (direct):
Th1 0.378 0.128 0.250
Th2 0.622 0.872 0.750
Co1 0.040 0.290 0.750
Co2 0.960 0.710 0.250
Ni1 0.204 0.454 0.750
Ni2 0.796 0.546 0.250

## Properties
M_tot: 0.0 μB per cell
calculated total energy: -0.2606 hartree per atom
space group: Imma (74)
ΔH_f (0 K): -0.322 eV/atom
density of states at the Fermi level: 1.15 states/eV/atom
mass density: 10.61 Mg/m³

=====

# 3
A geometry-optimized CeDyTh2 structure, computed with PBE-GGA.

abc: 3.529 3.529 9.921
angles: 90.00 90.00 90.00
Positions (direct):
Ce1 0.000 0.000 0.000
Dy1 0.000 0.000 0.500
Th1 0.500 0.500 0.243
Th2 0.500 0.500 0.757

## Properties
M_tot: 0.0 μB per cell
calculated total energy: -0.2320 hartree per atom
space group: P4/mmm (123)
ΔH_f (0 K): 0.031 eV/atom
density of states at the Fermi level: 1.59 states/eV/atom
mass density: 10.30 Mg/m³

=====

# 4
A geometry-optimized CaSnP2S structure, computed with PBE-GGA.

abc: 5.016 5.016 5.132
angles: 90.00 90.00 90.00
Positions (direct):
Ca1 0.000 0.000 0.000
Sn1 0.500 0.500 0.500
P1 0.000 0.500 0.500
P2 0.500 0.000 0.500
S1 0.500 0.500 0.000

## Properties
M_tot: 0.0 μB per cell
calculated total energy: -0.1496 hartree per atom
space group: P4/mmm (123)
uncorrected formation energy: 120 meV per atom
density of states at the Fermi level: 0.75 states/eV/atom
mass density: 3.25 Mg/m³

=====

# 5
A geometry-optimized Rb2SbO3 structure, computed with PBE-GGA.

abc: 6.636 6.636 6.392
angles: 90.00 90.00 65.76
Positions (direct):
Rb1 0.031 0.296 0.000
Rb2 0.296 0.031 0.500
Rb3 0.704 0.969 0.000
Rb4 0.969 0.704 0.500
Sb1 0.426 0.574 0.060
Sb2 0.574 0.426 0.560
O1 0.161 0.839 0.113
O2 0.357 0.399 0.781
O3 0.399 0.357 0.281
O4 0.601 0.643 0.781
O5 0.643 0.601 0.281
O6 0.839 0.161 0.613

## Properties
M_tot: 0.0 μB per cell
calculated total energy: -0.1797 hartree per atom
space group: Cmc2_1 (36)
uncorrected formation energy: -1402 meV per atom
density of states at the Fermi level: 0.29 states/eV/atom
mass density: 4.41 Mg/m³

=====

# 6
A geometry-optimized Hg3MoCl6 structure, computed with PBE-GGA.

abc: 6.158 6.158 8.709
angles: 90.00 90.00 120.00
Positions (direct):
Hg1 0.000 0.000 0.000
Hg2 0.333 0.667 0.000
Hg3 0.667 0.333 0.000
Mo1 0.000 0.000 0.500
Cl1 0.000 0.306 0.343
Cl2 0.000 0.694 0.657
Cl3 0.306 0.000 0.343
Cl4 0.306 0.306 0.657
Cl5 0.694 0.000 0.657
Cl6 0.694 0.694 0.343

## Properties
M_tot: 0.3 μB per cell
calculated total energy: -0.1029 hartree per atom
space group: P-31m (162)
uncorrected formation energy: -518 meV per atom
density of states at the Fermi level: 0.42 states/eV/atom
mass density: 5.29 Mg/m³

=====

# 7
A geometry-optimized LiRuBr structure, computed with PBE-GGA.

abc: 4.278 4.278 3.152
angles: 90.00 90.00 120.00
Positions (direct):
Li1 0.000 0.000 0.000
Ru1 0.667 0.333 0.500
Br1 0.333 0.667 0.500

## Properties
M_tot: 0.0 μB per cell
calculated total energy: -0.1458 hartree per atom
space group: P-6m2 (187)
uncorrected formation energy: 320 meV per atom
density of states at the Fermi level: 0.99 states/eV/atom
mass density: 6.25 Mg/m³

=====

# 8
A geometry-optimized LaCd11Pt structure, computed with PBE-GGA.

abc: 7.708 7.708 7.640
angles: 97.82 97.82 136.35
Positions (direct):
La1 0.000 0.000 0.000
Cd1 0.000 0.000 0.500
Cd2 0.000 0.500 0.000
Cd3 0.020 0.364 0.359
Cd4 0.295 0.504 0.784
Cd5 0.364 0.020 0.359
Cd6 0.496 0.705 0.216
Cd7 0.500 0.000 0.000
Cd8 0.504 0.295 0.784
Cd9 0.636 0.980 0.641
Cd10 0.705 0.496 0.216
Cd11 0.980 0.636 0.641
Pt1 0.500 0.500 0.500

## Properties
M_tot: 0.0 μB per cell
calculated total energy: -0.0667 hartree per atom
space group: C2/m (12)
ΔH_f (0 K): -0.198 eV/atom
density of states at the Fermi level: 0.45 states/eV/atom
mass density: 8.94 Mg/m³

=====

# 9
A geometry-optimized BaMgTe2 structure, computed with PBE-GGA.

abc: 4.301 4.301 8.465
angles: 90.00 90.00 113.48
Positions (direct):
Ba1 0.000 0.000 0.000
Mg1 0.000 0.000 0.500
Te1 0.500 0.500 0.281
Te2 0.500 0.500 0.719

## Properties
M_tot: 0.0 μB per cell
calculated total energy: -0.1247 hartree per atom
space group: Cmmm (65)
uncorrected formation energy: -943 meV per atom
density of states at the Fermi level: 0.02 states/eV/atom
mass density: 4.82 Mg/m³

=====

# 10
A geometry-optimized SrHgMo2 structure, computed with PBE-GGA.

abc: 3.079 3.079 9.802
angles: 90.00 90.00 111.39
Positions (direct):
Sr1 0.000 0.000 0.000
Hg1 0.500 0.500 0.286
Mo1 0.000 0.000 0.535
Mo2 0.500 0.500 0.719

## Properties
M_tot: 0.0 μB per cell
calculated total energy: -0.1957 hartree per atom
space group: Cmm2 (35)
ΔH_f (0 K): 0.586 eV/atom
density of states at the Fermi level: 0.89 states/eV/atom
mass density: 9.21 Mg/m³

=====

# 11
A geometry-optimized K3AsPt4 structure, computed with PBE-GGA.

abc: 13.733 8.655 6.613
angles: 90.00 90.00 90.00
Positions (direct):
K1 0.056 0.250 0.193
K2 0.166 0.561 0.034
K3 0.166 0.939 0.034
K4 0.334 0.061 0.534
K5 0.334 0.439 0.534
K6 0.444 0.750 0.693
K7 0.556 0.250 0.307
K8 0.666 0.561 0.466
K9 0.666 0.939 0.466
K10 0.834 0.061 0.966
K11 0.834 0.439 0.966
K12 0.944 0.750 0.807
As1 0.184 0.750 0.484
As2 0.316 0.250 0.984
As3 0.684 0.750 0.016
As4 0.816 0.250 0.516
Pt1 0.011 0.750 0.369
Pt2 0.095 0.506 0.574
Pt3 0.095 0.994 0.574
Pt4 0.171 0.250 0.765
Pt5 0.329 0.750 0.265
Pt6 0.405 0.006 0.074
Pt7 0.405 0.494 0.074
Pt8 0.489 0.250 0.869
Pt9 0.511 0.750 0.131
Pt10 0.595 0.506 0.926
Pt11 0.595 0.994 0.926
Pt12 0.671 0.250 0.735
Pt13 0.829 0.750 0.235
Pt14 0.905 0.006 0.426
Pt15 0.905 0.494 0.426
Pt16 0.989 0.250 0.631

## Properties
M_tot: 0.0 μB per cell
calculated total energy: -0.1586 hartree per atom
space group: Pnma (62)
ΔH_f (0 K): -0.301 eV/atom
density of states at the Fermi level: 0.37 states/eV/atom
mass density: 8.22 Mg/m³

=====

# 12
A geometry-optimized Ho2In4Ag structure, computed with PBE-GGA.

abc: 10.043 10.043 10.043
angles: 60.00 60.00 60.00
Positions (direct):
Ho1 0.156 0.781 0.781
Ho2 0.219 0.219 0.219
Ho3 0.219 0.219 0.844
Ho4 0.219 0.844 0.219
Ho5 0.781 0.156 0.781
Ho6 0.781 0.781 0.156
Ho7 0.781 0.781 0.781
Ho8 0.844 0.219 0.219
In1 0.000 0.000 0.000
In2 0.000 0.000 0.500
In3 0.000 0.500 0.000
In4 0.157 0.157 0.593
In5 0.157 0.593 0.157
In6 0.157 0.593 0.593
In7 0.407 0.407 0.843
In8 0.407 0.843 0.407
In9 0.407 0.843 0.843
In10 0.500 0.000 0.000
In11 0.593 0.157 0.157
In12 0.593 0.157 0.593
In13 0.593 0.593 0.157
In14 0.843 0.407 0.407
In15 0.843 0.407 0.843
In16 0.843 0.843 0.407
Ag1 0.000 0.500 0.500
Ag2 0.500 0.000 0.500
Ag3 0.500 0.500 0.000
Ag4 0.500 0.500 0.500

## Properties
M_tot: 0.0 μB per cell
calculated total energy: -0.1300 hartree per atom
space group: Fd-3m (227)
ΔH_f (0 K): -0.257 eV/atom
density of states at the Fermi level: 0.65 states/eV/atom
mass density: 8.32 Mg/m³

=====

# 13
A geometry-optimized RbTl6Bi structure, computed with PBE-GGA.

abc: 5.701 5.701 9.203
angles: 90.00 90.00 90.00
Positions (direct):
Rb1 0.000 0.000 0.000
Tl1 0.000 0.500 0.316
Tl2 0.000 0.500 0.684
Tl3 0.500 0.000 0.316
Tl4 0.500 0.000 0.684
Tl5 0.500 0.500 0.163
Tl6 0.500 0.500 0.837
Bi1 0.000 0.000 0.500

## Properties
M_tot: 0.0 μB per cell
calculated total energy: -0.0878 hartree per atom
space group: P4/mmm (123)
ΔH_f (0 K): -0.008 eV/atom
density of states at the Fermi level: 0.52 states/eV/atom
mass density: 8.44 Mg/m³

=====

# 14
A geometry-optimized Dy4ZnAu7 structure, computed with PBE-GGA.

abc: 7.566 7.566 9.017
angles: 120.82 120.82 38.62
Positions (direct):
Dy1 0.063 0.063 0.245
Dy2 0.235 0.235 0.757
Dy3 0.765 0.765 0.243
Dy4 0.937 0.937 0.755
Zn1 0.500 0.500 0.500
Au1 0.000 0.000 0.500
Au2 0.176 0.176 0.051
Au3 0.313 0.313 0.511
Au4 0.417 0.417 0.151
Au5 0.583 0.583 0.849
Au6 0.687 0.687 0.489
Au7 0.824 0.824 0.949

## Properties
M_tot: 0.0 μB per cell
calculated total energy: -0.1552 hartree per atom
space group: C2/m (12)
ΔH_f (0 K): -0.670 eV/atom
density of states at the Fermi level: 0.60 states/eV/atom
mass density: 12.85 Mg/m³

=====

# 15
A geometry-optimized BiTe2Pd3 structure, computed with PBE-GGA.

abc: 6.587 6.587 6.587
angles: 142.08 78.33 114.42
Positions (direct):
Bi1 0.000 0.000 0.000
Te1 0.286 0.941 0.346
Te2 0.595 0.941 0.654
Pd1 0.037 0.253 0.784
Pd2 0.470 0.253 0.216
Pd3 0.754 0.254 0.500

## Properties
M_tot: 0.0 μB per cell
calculated total energy: -0.1638 hartree per atom
space group: Imm2 (44)
uncorrected formation energy: -167 meV per atom
density of states at the Fermi level: 0.63 states/eV/atom
mass density: 8.34 Mg/m³

=====

# 16
A geometry-optimized Mg2TlGaFe structure, computed with PBE-GGA.

abc: 5.235 5.235 5.039
angles: 90.00 90.00 90.00
Positions (direct):
Mg1 0.000 0.500 0.000
Mg2 0.500 0.000 0.000
Tl1 0.000 0.000 0.000
Ga1 0.500 0.500 0.500
Fe1 0.000 0.000 0.500

## Properties
M_tot: 2.6 μB per cell
calculated total energy: -0.0957 hartree per atom
space group: P4/mmm (123)
ΔH_f (0 K): 0.804 eV/atom
density of states at the Fermi level: 1.14 states/eV/atom
mass density: 4.55 Mg/m³

=====

# 17
A geometry-optimized In2AsPt structure, computed with PBE-GGA.

abc: 4.751 4.751 3.899
angles: 98.28 98.28 102.26
Positions (direct):
In1 0.000 0.500 0.000
In2 0.500 0.000 0.000
As1 0.000 0.000 0.500
Pt1 0.500 0.500 0.500

## Properties
M_tot: 0.0 μB per cell
calculated total energy: -0.1488 hartree per atom
space group: C2/m (12)
ΔH_f (0 K): -0.007 eV/atom
density of states at the Fermi level: 0.42 states/eV/atom
mass density: 9.91 Mg/m³

=====

# 18
A geometry-optimized TaAlTl3 structure, computed with PBE-GGA.

abc: 5.278 5.278 5.278
angles: 90.00 90.00 90.00
Positions (direct):
Ta1 0.000 0.000 0.000
Al1 0.500 0.500 0.500
Tl1 0.000 0.500 0.500
Tl2 0.500 0.000 0.500
Tl3 0.500 0.500 0.000

## Properties
M_tot: 3.1 μB per cell
calculated total energy: -0.1191 hartree per atom
space group: Pm-3m (221)
ΔH_f (0 K): 1.298 eV/atom
density of states at the Fermi level: 1.76 states/eV/atom
mass density: 9.27 Mg/m³

=====

# 19
A geometry-optimized AsAuSe2N structure, computed with PBE-GGA.

abc: 5.199 5.199 3.555
angles: 90.00 90.00 90.00
Positions (direct):
As1 0.000 0.000 0.000
Au1 0.500 0.500 0.500
Se1 0.000 0.500 0.000
Se2 0.500 0.000 0.000
N1 0.000 0.000 0.500

## Properties
M_tot: 0.0 μB per cell
calculated total energy: -0.1363 hartree per atom
space group: P4/mmm (123)
uncorrected formation energy: 934 meV per atom
density of states at the Fermi level: 0.96 states/eV/atom
mass density: 7.67 Mg/m³

=====

# 20
A geometry-optimized BeInSb3 structure, computed with PBE-GGA.

abc: 5.607 5.607 5.607
angles: 90.00 90.00 90.00
Positions (direct):
Be1 0.000 0.000 0.000
In1 0.500 0.500 0.500
Sb1 0.000 0.500 0.500
Sb2 0.500 0.000 0.500
Sb3 0.500 0.500 0.000

## Properties
M_tot: 0.0 μB per cell
calculated total energy: -0.0896 hartree per atom
space group: Pm-3m (221)
uncorrected formation energy: 1328 meV per atom
density of states at the Fermi level: 1.21 states/eV/atom
mass density: 4.61 Mg/m³